A geometry-optimized Be4InB12 structure, computed with GGA-PBE.

Unit cell a=6.060 b=5.926 c=5.281 alpha=103.17 beta=98.98 gamma=122.29
Element x y z (fractional)
1 B 0.301 0.629 0.654
2 Be 0.000 0.000 0.500
3 B 0.668 0.373 0.694
4 B 0.343 0.192 0.801
5 B 0.057 0.601 0.390
6 Be 0.500 0.500 0.500
7 Be 0.000 0.500 0.000
8 B 0.616 0.049 0.392
9 B 0.384 0.951 0.608
10 B 0.514 0.551 0.856
11 B 0.332 0.627 0.306
12 B 0.657 0.808 0.199
13 B 0.486 0.449 0.144
14 B 0.699 0.371 0.346
15 B 0.943 0.399 0.610
16 In 0.000 0.000 0.000
17 Be 0.500 0.000 0.000

Properties
Raw total energy   -5.316 eV per atom
M_tot   0.0 μB per formula unit
Energy relative to the elements   435 meV/atom

A geometry-optimized ZrReSi3 structure, computed with GGA-PBE.

Unit cell a=4.792 b=4.792 c=4.792 alpha=90.00 beta=90.00 gamma=90.00
Element x y z (fractional)
1 Zr 0.000 0.000 0.000
2 Re 0.500 0.500 0.500
3 Si 0.500 0.000 0.000
4 Si 0.000 0.000 0.500
5 Si 0.000 0.500 0.000

Properties
Raw total energy   -5.523 eV per atom
Excess energy over the best structure of this formula in the dataset   1.288 eV per atom
Formation energy from raw total energies   9.651 eV/f.u.
M_tot   0.0 μB per formula unit

A geometry-optimized SrTa2VZn structure, computed with GGA-PBE.

Unit cell a=4.888 b=4.896 c=4.888 alpha=90.00 beta=90.00 gamma=90.00
Element x y z (fractional)
1 Sr 0.000 0.000 0.000
2 Ta 0.000 0.000 0.500
3 Ta 0.500 0.000 0.000
4 Zn 0.000 0.500 0.000
5 V 0.500 0.500 0.500

Properties
Raw total energy   -4.282 eV per atom
Excess energy over the best structure of this formula in the dataset   0.133 eV per atom
M_tot   0.0 μB per formula unit
Energy relative to the elements   2874 meV/atom

A geometry-optimized CoIrS2 structure, computed with GGA-PBE.

Unit cell a=4.220 b=4.220 c=4.220 alpha=60.00 beta=60.00 gamma=60.00
Last column: magnetic moment on the atom in μB.
Element x y z (fractional)
1 S 0.250 0.250 0.250  0.04
2 S 0.750 0.750 0.750  0.04
3 Co 0.000 0.000 0.000  1.51
4 Ir 0.500 0.500 0.500  0.13

Properties
Raw total energy   -5.705 eV per atom
Excess energy over the best structure of this formula in the dataset   0.481 eV per atom
Formation energy from raw total energies   1.400 eV/f.u.
M_tot   1.7 μB per formula unit

A geometry-optimized SiPt3 structure, computed with GGA-PBE.

Unit cell a=2.924 b=2.924 c=8.273 alpha=90.00 beta=90.00 gamma=120.00
Element x y z (fractional)
1 Si 0.000 0.000 0.000
2 Pt 0.000 0.000 0.500
3 Pt 0.667 0.333 0.787
4 Pt 0.667 0.333 0.213

Properties
Raw total energy   -6.182 eV per atom
Formation energy from raw total energies   -1.181 eV/f.u.
M_tot   0.0 μB per formula unit

A geometry-optimized TiTlFe3 structure, computed with GGA-PBE.

Unit cell a=4.811 b=4.811 c=4.811 alpha=90.00 beta=90.00 gamma=90.00
Last column: magnetic moment on the atom in μB.
Element x y z (fractional)
1 Fe 0.500 0.000 0.000  2.80
2 Fe 0.000 0.500 0.000  3.00
3 Tl 0.000 0.000 0.000  -0.05
4 Fe 0.000 0.000 0.500  3.12
5 Ti 0.500 0.500 0.500  -1.67

Properties
Raw total energy   -5.473 eV per atom
Excess energy over the best structure of this formula in the dataset   0.612 eV per atom
M_tot   6.6 μB per formula unit
Energy relative to the elements   1656 meV/atom

A geometry-optimized ThTlZn2 structure, computed with GGA-PBE.

Unit cell a=4.587 b=4.587 c=5.686 alpha=66.21 beta=66.21 gamma=60.00
Element x y z (fractional)
1 Tl 0.500 0.500 0.500
2 Zn 0.229 0.229 0.314
3 Th 0.000 0.000 0.000
4 Zn 0.771 0.771 0.686

Properties
Raw total energy   -3.147 eV per atom
Excess energy over the best structure of this formula in the dataset   0.030 eV per atom
M_tot   0.0 μB per formula unit
Energy relative to the elements   -63 meV/atom

A geometry-optimized TlIn6Hg5 structure, computed with GGA-PBE.

Unit cell a=3.401 b=10.400 c=10.393 alpha=112.46 beta=98.65 gamma=98.64
Element x y z (fractional)
1 In 0.250 0.416 0.082
2 In 0.750 0.918 0.584
3 Hg 0.500 0.830 0.170
4 Hg 0.500 0.500 0.500
5 In 0.750 0.584 0.918
6 In 0.236 0.737 0.737
7 Hg 0.000 0.668 0.332
8 Hg 0.000 0.332 0.668
9 In 0.250 0.082 0.416
10 In 0.764 0.263 0.263
11 Hg 0.500 0.170 0.830
12 Tl 0.000 0.000 0.000

Properties
Raw total energy   -1.680 eV per atom
M_tot   0.0 μB per formula unit
Energy relative to the elements   12 meV/atom

Which of these has the highest M_tot? TiTlFe3